Entry 1:
Material: Li2TlCd
Method: DFT, SCAN
State: single point on PBEsol structure

The structure belongs to space group I-4m2 (No. 119); the cell edges are 4.7866, 4.7866 and 6.6717 Å and the angles 90.00°, 90.00° and 90.00°. Symmetry generates all atoms from Li at (0.0000, 0.0000, 0.0000), Li at (0.0000, 0.5000, 0.2500), Tl at (0.0000, 0.0000, 0.5000) and Cd at (0.0000, 0.5000, 0.7500).

As for the final energy: -217.761 eV for the cell shown.

Entry 2:
Material: LiTlCd2
Method: DFT, SCAN
State: single point on PBEsol structure

The structure belongs to space group P4mm (No. 99); the cell edges are 3.4893, 3.4893 and 6.8834 Å and the angles 90.00°, 90.00° and 90.00°. Symmetry generates all atoms from Li at (0.0000, 0.0000, 0.0000), Tl at (0.5000, 0.5000, 0.2450), Cd at (0.0000, 0.0000, 0.5350) and Cd at (0.5000, 0.5000, 0.7825).

As for the final energy: -136.052 eV for the cell shown.

Entry 3:
Material: LiTlCd
Method: DFT, SCAN
State: single point on PBEsol structure

The structure belongs to space group Imm2 (No. 44); the cell edges are 3.2969, 4.3596 and 8.8369 Å and the angles 90.00°, 90.00° and 90.00°. Symmetry generates all atoms from Li at (0.0000, 0.0000, 0.0000), Tl at (0.0000, 0.0000, 0.3307) and Cd at (0.0000, 0.0000, 0.6642).

For the polymorph energy (0 for the lowest one), the calculation gives 0.1 meV/atom.

Entry 4:
Material: Li2Tl2Cd
Method: DFT, SCAN
State: single point on PBEsol structure

The structure belongs to space group P4/mbm (No. 127); the cell edges are 7.8942, 7.8942 and 3.3924 Å and the angles 90.00°, 90.00° and 90.00°. Symmetry generates all atoms from Li at (0.1577, 0.3423, 0.0000), Tl at (0.1423, 0.6423, 0.5000) and Cd at (0.0000, 0.0000, 0.5000).

As for the final energy: -361.973 eV for the cell shown.

Entry 5:
Material: LiTlCd2
Method: DFT, SCAN
State: single point on PBEsol structure

The structure belongs to space group Pmmm (No. 47); the cell edges are 3.4155, 4.1856 and 6.0014 Å and the angles 90.00°, 90.00° and 90.00°. Symmetry generates all atoms from Li at (0.0000, 0.0000, 0.0000), Tl at (0.0000, 0.0000, 0.5000) and Cd at (0.5000, 0.5000, 0.2357).

As for the final energy: -136.070 eV for the cell shown.

Entry 6:
Material: Li2TlCd2
Method: DFT, SCAN
State: single point on PBEsol structure

The structure belongs to space group P4/mbm (No. 127); the cell edges are 7.9277, 7.9277 and 3.1848 Å and the angles 90.00°, 90.00° and 90.00°. Symmetry generates all atoms from Li at (0.1660, 0.3340, 0.0000), Tl at (0.0000, 0.0000, 0.5000) and Cd at (0.1309, 0.6309, 0.5000).

As for the final energy: -277.862 eV for the cell shown.

Entry 7:
Material: Li3TlCd
Method: DFT, SCAN
State: single point on PBEsol structure

The structure belongs to space group Pm-3m (No. 221); the cell edges are 4.9509, 4.9509 and 4.9509 Å and the angles 90.00°, 90.00° and 90.00°. Symmetry generates all atoms from Li at (0.0000, 0.0000, 0.5000), Tl at (0.5000, 0.5000, 0.5000) and Cd at (0.0000, 0.0000, 0.0000).

As for the final energy: -109.556 eV for the cell shown.

Entry 8:
Material: LiTlCd2
Method: DFT, SCAN
State: single point on PBEsol structure

The structure belongs to space group I4/mmm (No. 139); the cell edges are 4.3270, 4.3270 and 9.0675 Å and the angles 90.00°, 90.00° and 90.00°. Symmetry generates all atoms from Li at (0.0000, 0.0000, 0.0000), Tl at (0.0000, 0.0000, 0.5000) and Cd at (0.0000, 0.5000, 0.2500).

As for the final energy: -272.144 eV for the cell shown.

Entry 9:
Material: LiTlCd2
Method: DFT, SCAN
State: single point on PBEsol structure

The structure belongs to space group I-4m2 (No. 119); the cell edges are 4.4692, 4.4692 and 8.4559 Å and the angles 90.00°, 90.00° and 90.00°. Symmetry generates all atoms from Li at (0.0000, 0.0000, 0.0000), Tl at (0.0000, 0.5000, 0.2500), Cd at (0.0000, 0.0000, 0.5000) and Cd at (0.0000, 0.5000, 0.7500).

As for the final energy: -272.215 eV for the cell shown.

Entry 10:
Material: LiTlCd2
Method: DFT, SCAN
State: single point on PBEsol structure

The structure belongs to space group C2/m (No. 12); the cell edges are 5.9950, 10.7432 and 3.1490 Å and the angles 90.00°, 121.51° and 90.00°. Symmetry generates all atoms from Li at (0.0000, 0.0000, 0.0000), Tl at (0.0000, 0.5000, 0.0000) and Cd at (0.2500, 0.2500, 0.5000).

As for the final energy: -271.990 eV for the cell shown.

Entry 11:
Material: LiTlCd4
Method: DFT, SCAN
State: single point on PBEsol structure

The structure belongs to space group F-43m (No. 216); the cell edges are 8.1945, 8.1945 and 8.1945 Å and the angles 90.00°, 90.00° and 90.00°. Symmetry generates all atoms from Li at (0.0000, 0.0000, 0.0000), Tl at (0.2500, 0.2500, 0.2500) and Cd at (0.1255, 0.1255, 0.6255).

As for the final energy: -786.800 eV for the cell shown.

Entry 12:
Material: Li2TlCd
Method: DFT, SCAN
State: single point on PBEsol structure

The structure belongs to space group P4mm (No. 99); the cell edges are 3.5276, 3.5276 and 6.2793 Å and the angles 90.00°, 90.00° and 90.00°. Symmetry generates all atoms from Li at (0.0000, 0.0000, 0.0000), Li at (0.5000, 0.5000, 0.2539), Tl at (0.0000, 0.0000, 0.4835) and Cd at (0.5000, 0.5000, 0.7880).

As for the final energy: -108.495 eV for the cell shown.

Entry 13:
Material: LiTlCd
Method: DFT, SCAN
State: single point on PBEsol structure

The structure belongs to space group P1 (No. 1); the cell edges are 3.1854, 3.1879 and 6.5902 Å and the angles 103.25°, 103.96° and 90.13°. Symmetry generates all atoms from Li at (0.0000, 0.0000, 0.0000), Tl at (0.6632, 0.6620, 0.3265) and Cd at (0.3545, 0.3607, 0.7091).

For the polymorph energy (0 for the lowest one), the calculation gives 14.3 meV/atom.

Entry 14:
Material: LiCdW2
Method: DFT, SCAN
State: single point on PBEsol structure

The structure belongs to space group P4/mmm (No. 123); the cell edges are 3.3747, 3.3747 and 5.4714 Å and the angles 90.00°, 90.00° and 90.00°. Symmetry generates all atoms from Li at (0.0000, 0.0000, 0.0000), Cd at (0.0000, 0.0000, 0.5000) and W at (0.5000, 0.5000, 0.2141).

For the polymorph energy (0 for the lowest one), the calculation gives 701.4 meV/atom.

Entry 15:
Material: Li2CdW
Method: DFT, SCAN
State: single point on PBEsol structure

The structure belongs to space group P4/mmm (No. 123); the cell edges are 3.9321, 3.9321 and 4.0852 Å and the angles 90.00°, 90.00° and 90.00°. Symmetry generates all atoms from Li at (0.0000, 0.5000, 0.0000), Cd at (0.0000, 0.0000, 0.5000) and W at (0.5000, 0.5000, 0.5000).

For the polymorph energy (0 for the lowest one), the calculation gives 414.4 meV/atom.

Entry 16:
Material: Li2CdW
Method: DFT, SCAN
State: single point on PBEsol structure

The structure belongs to space group P2/m (No. 10); the cell edges are 2.5877, 4.7778 and 5.2925 Å and the angles 90.00°, 92.48° and 90.00°. Symmetry generates all atoms from Li at (0.1371, 0.0000, 0.2220), Cd at (0.0000, 0.5000, 0.5000) and W at (0.5000, 0.5000, 0.0000).

For the polymorph energy (0 for the lowest one), the calculation gives 129.8 meV/atom.

Entry 17:
Material: LiCd2W
Method: DFT, SCAN
State: single point on PBEsol structure

The structure belongs to space group Pmmm (No. 47); the cell edges are 3.0056, 4.7574 and 4.7754 Å and the angles 90.00°, 90.00° and 90.00°. Symmetry generates all atoms from Li at (0.0000, 0.0000, 0.0000), Cd at (0.0000, 0.5000, 0.5000), Cd at (0.5000, 0.5000, 0.0000) and W at (0.5000, 0.0000, 0.5000).

For the polymorph energy (0 for the lowest one), the calculation gives 336.2 meV/atom.

Entry 18:
Material: LiCdW2
Method: DFT, SCAN
State: single point on PBEsol structure

The structure belongs to space group Cmm2 (No. 35); the cell edges are 3.1432, 4.4428 and 9.3953 Å and the angles 90.00°, 90.00° and 90.00°. Symmetry generates all atoms from Li at (0.0000, 0.0000, 0.0000), Cd at (0.0000, 0.5000, 0.7472), W at (0.0000, 0.0000, 0.4794) and W at (0.0000, 0.5000, 0.2459).

For the polymorph energy (0 for the lowest one), the calculation gives 0.0 meV/atom.

Entry 19:
Material: Li3CdW
Method: DFT, SCAN
State: single point on PBEsol structure

The structure belongs to space group Pm-3m (No. 221); the cell edges are 4.9396, 4.9396 and 4.9396 Å and the angles 90.00°, 90.00° and 90.00°. Symmetry generates all atoms from Li at (0.0000, 0.0000, 0.5000), Cd at (0.5000, 0.5000, 0.5000) and W at (0.0000, 0.0000, 0.0000).

As for the final energy: -100.052 eV for the cell shown.

Entry 20:
Material: Li2CdW
Method: DFT, SCAN
State: single point on PBEsol structure

The structure belongs to space group P4/mmm (No. 123); the cell edges are 2.6459, 2.6459 and 9.2530 Å and the angles 90.00°, 90.00° and 90.00°. Symmetry generates all atoms from Li at (0.0000, 0.0000, 0.2423), Cd at (0.5000, 0.5000, 0.5000) and W at (0.5000, 0.5000, 0.0000).

For the polymorph energy (0 for the lowest one), the calculation gives 0.0 meV/atom.

Entry 21:
Material: LiCd2W
Method: DFT, SCAN
State: single point on PBEsol structure

The structure belongs to space group P4/mmm (No. 123); the cell edges are 5.0120, 5.0120 and 2.7802 Å and the angles 90.00°, 90.00° and 90.00°. Symmetry generates all atoms from Li at (0.0000, 0.0000, 0.0000), Cd at (0.0000, 0.5000, 0.5000) and W at (0.5000, 0.5000, 0.0000).

For the polymorph energy (0 for the lowest one), the calculation gives 1.5 meV/atom.

Entry 22:
Material: Li2CdW
Method: DFT, SCAN
State: single point on PBEsol structure

The structure belongs to space group Cmm2 (No. 35); the cell edges are 3.0734, 4.4735 and 9.8314 Å and the angles 90.00°, 90.00° and 90.00°. Symmetry generates all atoms from Li at (0.0000, 0.0000, 0.0000), Li at (0.0000, 0.5000, 0.2647), Cd at (0.0000, 0.5000, 0.7580) and W at (0.0000, 0.0000, 0.5010).

For the polymorph energy (0 for the lowest one), the calculation gives 22.8 meV/atom.

Entry 23:
Material: LiCd2W
Method: DFT, SCAN
State: single point on PBEsol structure

The structure belongs to space group F-43m (No. 216); the cell edges are 6.5269, 6.5269 and 6.5269 Å and the angles 90.00°, 90.00° and 90.00°. Symmetry generates all atoms from Li at (0.0000, 0.0000, 0.0000), Cd at (0.0000, 0.0000, 0.5000), Cd at (0.2500, 0.2500, 0.2500) and W at (0.2500, 0.2500, 0.7500).

For the polymorph energy (0 for the lowest one), the calculation gives 405.1 meV/atom.

Entry 24:
Material: LiCd2W
Method: DFT, SCAN
State: single point on PBEsol structure

The structure belongs to space group P4mm (No. 99); the cell edges are 2.7503, 2.7503 and 9.1725 Å and the angles 90.00°, 90.00° and 90.00°. Symmetry generates all atoms from Li at (0.0000, 0.0000, 0.0000), Cd at (0.0000, 0.0000, 0.4817), Cd at (0.5000, 0.5000, 0.7603) and W at (0.5000, 0.5000, 0.2356).

For the polymorph energy (0 for the lowest one), the calculation gives 0.0 meV/atom.

Entry 25:
Material: Li2CdW
Method: DFT, SCAN
State: single point on PBEsol structure

The structure belongs to space group I4/mmm (No. 139); the cell edges are 4.0013, 4.0013 and 8.0321 Å and the angles 90.00°, 90.00° and 90.00°. Symmetry generates all atoms from Li at (0.0000, 0.5000, 0.2500), Cd at (0.0000, 0.0000, 0.0000) and W at (0.0000, 0.0000, 0.5000).

For the polymorph energy (0 for the lowest one), the calculation gives 461.2 meV/atom.

Entry 26:
Material: LiCdW2
Method: DFT, SCAN
State: single point on PBEsol structure

The structure belongs to space group Pm (No. 6); the cell edges are 2.6617, 4.3109 and 5.7307 Å and the angles 90.00°, 100.84° and 90.00°. Symmetry generates all atoms from Li at (0.0000, 0.0000, 0.0000), Cd at (0.2201, 0.5000, 0.7761), W at (0.5702, 0.0000, 0.4714) and W at (0.8219, 0.5000, 0.2631).

For the polymorph energy (0 for the lowest one), the calculation gives 100.7 meV/atom.

Entry 27:
Material: LiCdW3
Method: DFT, SCAN
State: single point on PBEsol structure

The structure belongs to space group Pm-3m (No. 221); the cell edges are 4.2482, 4.2482 and 4.2482 Å and the angles 90.00°, 90.00° and 90.00°. Symmetry generates all atoms from Li at (0.0000, 0.0000, 0.0000), Cd at (0.5000, 0.5000, 0.5000) and W at (0.0000, 0.0000, 0.5000).

As for the final energy: -233.809 eV for the cell shown.

Entry 28:
Material: Li2CdW
Method: DFT, SCAN
State: single point on PBEsol structure

The structure belongs to space group Pm (No. 6); the cell edges are 2.5874, 4.5181 and 5.6697 Å and the angles 90.00°, 103.06° and 90.00°. Symmetry generates all atoms from Li at (0.0000, 0.0000, 0.0000), Li at (0.1049, 0.5000, 0.2309), Cd at (0.3576, 0.5000, 0.7310) and W at (0.7334, 0.0000, 0.4847).

For the polymorph energy (0 for the lowest one), the calculation gives 163.3 meV/atom.

Entry 29:
Material: LiZnCdW2
Method: DFT, SCAN
State: single point on PBEsol structure

The structure belongs to space group P4/mmm (No. 123); the cell edges are 4.2363, 4.2363 and 4.3823 Å and the angles 90.00°, 90.00° and 90.00°. Symmetry generates all atoms from Li at (0.0000, 0.0000, 0.0000), Zn at (0.5000, 0.5000, 0.5000), Cd at (0.0000, 0.0000, 0.5000) and W at (0.0000, 0.5000, 0.0000).

As for the final energy: -177.770 eV for the cell shown.

Entry 30:
Material: Li4YCd
Method: DFT, SCAN
State: single point on PBEsol structure

The structure belongs to space group F-43m (No. 216); the cell edges are 7.6914, 7.6914 and 7.6914 Å and the angles 90.00°, 90.00° and 90.00°. Symmetry generates all atoms from Li at (0.1232, 0.1232, 0.1232), Y at (0.0000, 0.0000, 0.5000) and Cd at (0.2500, 0.2500, 0.7500).

As for the final energy: -273.613 eV for the cell shown.